A relaxed structure of Ba2AlInPt6, computed with GGA-PBE.

a b c (Å): 6.853 6.859 7.002
angles (deg): 61.31 60.76 60.11
Positions (direct):
1 Ba 0.208 0.208 0.375
2 Ba 0.792 0.792 0.625
3 Al 0.000 0.000 0.000
4 In 0.500 0.500 0.500
5 Pt 0.240 0.638 0.883
6 Pt 0.241 0.239 0.877
7 Pt 0.358 0.762 0.122
8 Pt 0.642 0.238 0.878
9 Pt 0.759 0.761 0.123
10 Pt 0.760 0.362 0.117

## Properties
Its calculated density is 11.14 Mg/m³. The formation energy is -6.8 eV per formula unit.

A relaxed structure of Ba2AlInS, computed with GGA-PBE.

a b c (Å): 6.434 6.434 5.012
angles (deg): 90.00 90.00 90.00
Positions (direct):
1 Ba 0.000 0.500 0.000
2 Ba 0.500 0.000 0.000
3 Al 0.000 0.000 0.500
4 In 0.000 0.000 0.000
5 S 0.500 0.500 0.500

## Properties
Its calculated density is 3.59 Mg/m³. As for the formation energy from raw total energies: -0.1650 eV/atom.